[1]
First-principles (GGA-PBE) data for crystalline TlRe2BiCl at its relaxed geometry, as listed in the Alexandria database.

Output
VASP energy = -23.3 eV per cell
Spin magnetization = 4.989 Bohr magnetons per cell

The structure in CIF format:
```
data_TlRe2BiCl
_chemical_formula_sum 'Tl1 Re2 Bi1 Cl1'
_cell_length_a 5.1972
_cell_length_b 5.1972
_cell_length_c 5.7917
_cell_angle_alpha 90.00
_cell_angle_beta 90.00
_cell_angle_gamma 90.00
_symmetry_space_group_name_H-M 'P 4/m m m'
_symmetry_Int_Tables_number 123
_symmetry_space_group_name_Hall '-P 4 2'
loop_
_atom_site_label
_atom_site_fract_x
_atom_site_fract_y
_atom_site_fract_z
_atom_site_occupancy
Tl1 0.0000 0.0000 0.0000 1
Re1 0.0000 0.5000 0.5000 1
Bi1 0.5000 0.5000 0.5000 1
Cl1 0.5000 0.5000 0.0000 1
```

---

[2]
First-principles (GGA-PBE) data for crystalline ZnReBi2Cl at its relaxed geometry, as listed in the Alexandria database.

Output
VASP energy = -16.6 eV per cell
Spin magnetization = 0.015 Bohr magnetons per cell

The structure in CIF format:
```
data_ZnReBi2Cl
_chemical_formula_sum 'Zn1 Re1 Bi2 Cl1'
_cell_length_a 5.6561
_cell_length_b 5.6561
_cell_length_c 4.2636
_cell_angle_alpha 90.00
_cell_angle_beta 90.00
_cell_angle_gamma 90.00
_symmetry_space_group_name_H-M 'P 4/m m m'
_symmetry_Int_Tables_number 123
_symmetry_space_group_name_Hall '-P 4 2'
loop_
_atom_site_label
_atom_site_fract_x
_atom_site_fract_y
_atom_site_fract_z
_atom_site_occupancy
Zn1 0.0000 0.0000 0.0000 1
Re1 0.5000 0.5000 0.0000 1
Bi1 0.0000 0.5000 0.5000 1
Cl1 0.5000 0.5000 0.5000 1
```

---

[3]
First-principles (GGA-PBE) data for crystalline BiRh2Cl at its relaxed geometry, as listed in the Alexandria database.

Output
VASP energy = -77.7 eV per cell
Polymorph energy (0 for the lowest one) = 14 meV per atom
Spin magnetization = 1.511 Bohr magnetons per cell

The structure in CIF format:
```
data_BiRh2Cl
_chemical_formula_sum 'Bi4 Rh8 Cl4'
_cell_length_a 6.5968
_cell_length_b 6.5968
_cell_length_c 6.5968
_cell_angle_alpha 90.00
_cell_angle_beta 90.00
_cell_angle_gamma 90.00
_symmetry_space_group_name_H-M 'F m -3 m'
_symmetry_Int_Tables_number 225
_symmetry_space_group_name_Hall '-F 4 2 3'
loop_
_atom_site_label
_atom_site_fract_x
_atom_site_fract_y
_atom_site_fract_z
_atom_site_occupancy
Bi1 0.0000 0.0000 0.0000 1
Rh1 0.2500 0.2500 0.2500 1
Cl1 0.0000 0.0000 0.5000 1
```

---

[4]
First-principles (GGA-PBE) data for crystalline BiRhCl3 at its relaxed geometry, as listed in the Alexandria database.

Output
VASP energy = -17.3 eV per cell
Polymorph energy (0 for the lowest one) = 0 meV per atom
Spin magnetization = 0.000 Bohr magnetons per cell

The structure in CIF format:
```
data_BiRhCl3
_chemical_formula_sum 'Bi1 Rh1 Cl3'
_cell_length_a 4.8324
_cell_length_b 4.8324
_cell_length_c 4.8324
_cell_angle_alpha 90.00
_cell_angle_beta 90.00
_cell_angle_gamma 90.00
_symmetry_space_group_name_H-M 'P m -3 m'
_symmetry_Int_Tables_number 221
_symmetry_space_group_name_Hall '-P 4 2 3'
loop_
_atom_site_label
_atom_site_fract_x
_atom_site_fract_y
_atom_site_fract_z
_atom_site_occupancy
Bi1 0.0000 0.0000 0.0000 1
Rh1 0.5000 0.5000 0.5000 1
Cl1 0.0000 0.5000 0.5000 1
```

---

[5]
First-principles (GGA-PBE) data for crystalline Bi2RhCl at its relaxed geometry, as listed in the Alexandria database.

Output
VASP energy = -54.8 eV per cell
Polymorph energy (0 for the lowest one) = 0 meV per atom
Spin magnetization = 0.000 Bohr magnetons per cell

The structure in CIF format:
```
data_Bi2RhCl
_chemical_formula_sum 'Bi6 Rh3 Cl3'
_cell_length_a 3.8348
_cell_length_b 3.8348
_cell_length_c 23.9158
_cell_angle_alpha 90.00
_cell_angle_beta 90.00
_cell_angle_gamma 120.00
_symmetry_space_group_name_H-M 'R -3 m'
_symmetry_Int_Tables_number 166
_symmetry_space_group_name_Hall '-R 3 2"'
loop_
_atom_site_label
_atom_site_fract_x
_atom_site_fract_y
_atom_site_fract_z
_atom_site_occupancy
Bi1 0.0000 0.0000 0.2361 1
Rh1 0.0000 0.0000 0.5000 1
Cl1 0.0000 0.0000 0.0000 1
```

---

[6]
First-principles (GGA-PBE) data for crystalline Bi6RhCl2 at its relaxed geometry, as listed in the Alexandria database.

Output
VASP energy = -146.0 eV per cell
Spin magnetization = 0.000 Bohr magnetons per cell

The structure in CIF format:
```
data_Bi6RhCl2
_chemical_formula_sum 'Bi24 Rh4 Cl8'
_cell_length_a 7.3000
_cell_length_b 16.9517
_cell_length_c 9.2542
_cell_angle_alpha 90.00
_cell_angle_beta 104.75
_cell_angle_gamma 90.00
_symmetry_space_group_name_H-M 'C 1 2/c 1'
_symmetry_Int_Tables_number 15
loop_
_symmetry_equiv_pos_as_xyz
'x,y,z'
'-x,-y,-z'
'-x,y,-z+1/2'
'x,-y,z+1/2'
'x+1/2,y+1/2,z'
'-x+1/2,-y+1/2,-z'
'-x+1/2,y+1/2,-z+1/2'
'x+1/2,-y+1/2,z+1/2'
loop_
_atom_site_label
_atom_site_fract_x
_atom_site_fract_y
_atom_site_fract_z
_atom_site_occupancy
Bi1 0.0289 0.0924 0.0497 1
Bi2 0.1487 0.4643 0.6416 1
Bi3 0.2174 0.3449 0.2447 1
Rh1 0.0000 0.0437 0.7500 1
Cl1 0.0245 0.2911 0.9590 1
```

---

[7]
First-principles (GGA-PBE) data for crystalline Bi2RhCl at its relaxed geometry, as listed in the Alexandria database.

Output
VASP energy = -67.4 eV per cell
Polymorph energy (0 for the lowest one) = 354 meV per atom
Spin magnetization = 0.000 Bohr magnetons per cell

The structure in CIF format:
```
data_Bi2RhCl
_chemical_formula_sum 'Bi8 Rh4 Cl4'
_cell_length_a 7.0695
_cell_length_b 7.0695
_cell_length_c 7.0695
_cell_angle_alpha 90.00
_cell_angle_beta 90.00
_cell_angle_gamma 90.00
_symmetry_space_group_name_H-M 'F m -3 m'
_symmetry_Int_Tables_number 225
_symmetry_space_group_name_Hall '-F 4 2 3'
loop_
_atom_site_label
_atom_site_fract_x
_atom_site_fract_y
_atom_site_fract_z
_atom_site_occupancy
Bi1 0.2500 0.2500 0.2500 1
Rh1 0.0000 0.0000 0.0000 1
Cl1 0.0000 0.0000 0.5000 1
```

---

[8]
First-principles (GGA-PBE) data for crystalline Bi12Rh3Cl2 at its relaxed geometry, as listed in the Alexandria database.

Output
VASP energy = -618.1 eV per cell
Spin magnetization = 0.000 Bohr magnetons per cell

The structure in CIF format:
```
data_Bi12Rh3Cl2
_chemical_formula_sum 'Bi96 Rh24 Cl16'
_cell_length_a 7.3337
_cell_length_b 16.7964
_cell_length_c 32.2101
_cell_angle_alpha 90.00
_cell_angle_beta 90.00
_cell_angle_gamma 90.00
_symmetry_space_group_name_H-M 'F d d d'
_symmetry_Int_Tables_number 70
loop_
_symmetry_equiv_pos_as_xyz
'x,y,z'
'-x,-y,-z'
'-x+1/4,-y+1/4,z'
'x+1/4,y+1/4,-z'
'x,-y+1/4,-z+1/4'
'-x,y+1/4,z+1/4'
'-x+1/4,y,-z+1/4'
'x+1/4,-y,z+1/4'
'x,y+1/2,z+1/2'
'-x,-y+1/2,-z+1/2'
'-x+1/4,-y+3/4,z+1/2'
'x+1/4,y+3/4,-z+1/2'
'x,-y+3/4,-z+3/4'
'-x,y+3/4,z+3/4'
'-x+1/4,y+1/2,-z+3/4'
'x+1/4,-y+1/2,z+3/4'
'x+1/2,y,z+1/2'
'-x+1/2,-y,-z+1/2'
'-x+3/4,-y+1/4,z+1/2'
'x+3/4,y+1/4,-z+1/2'
'x+1/2,-y+1/4,-z+3/4'
'-x+1/2,y+1/4,z+3/4'
'-x+3/4,y,-z+3/4'
'x+3/4,-y,z+3/4'
'x+1/2,y+1/2,z'
'-x+1/2,-y+1/2,-z'
'-x+3/4,-y+3/4,z'
'x+3/4,y+3/4,-z'
'x+1/2,-y+3/4,-z+1/4'
'-x+1/2,y+3/4,z+1/4'
'-x+3/4,y+1/2,-z+1/4'
'x+3/4,-y+1/2,z+1/4'
loop_
_atom_site_label
_atom_site_fract_x
_atom_site_fract_y
_atom_site_fract_z
_atom_site_occupancy
Bi1 0.0054 0.2536 0.0726 1
Bi2 0.0821 0.3356 0.5131 1
Bi3 0.0876 0.3224 0.9277 1
Rh1 0.0000 0.0000 0.0000 1
Rh2 0.1250 0.1250 0.1250 1
Cl1 0.1250 0.3274 0.6250 1
```